[1]
First-principles (PBE) data for an optimized crystal structure of PmTmHgAu, as listed in the Alexandria database.

The electronic total energy comes out at -3.834 eV/atom. The value obtained for the calculated density is 11.80 g/cm³. The value obtained for the formation energy from the elements is -0.634 eV/atom. As for the symmetry: No. 216.

Cell and atoms, written as extended XYZ:
```
4
Lattice="-1.303 2.642 4.300 1.571 -1.690 4.674 3.637 2.642 2.639" Properties=species:S:1:pos:R:3 pbc="T T T"
Hg 1.952 1.797 5.806
Au 0.000 0.000 0.000
Pm 0.976 0.898 2.903
Tm 2.929 2.695 8.709
```

[2]
First-principles (PBE) data for an optimized crystal structure of ZrReSe2, as listed in the Alexandria database.

The electronic total energy comes out at -6.601 eV/atom. The value obtained for the calculated density is 9.73 g/cm³. The calculation puts the uncorrected formation energy at 0.39 eV/atom. As for the symmetry: No. 216.

Cell and atoms, written as extended XYZ:
```
4
Lattice="4.719 0.000 0.000 2.359 4.087 0.000 2.359 1.362 3.853" Properties=species:S:1:pos:R:3 pbc="T T T"
Se 0.000 0.000 0.000
Se 2.359 1.362 0.963
Re 4.719 2.725 1.927
Zr 7.078 4.087 2.890
```

[3]
First-principles (PBE) data for an optimized crystal structure of MgCd2In, as listed in the Alexandria database.

The electronic total energy comes out at -1.540 eV/atom. The value obtained for the calculated density is 6.35 g/cm³. The value obtained for the formation energy from the elements is 0.001 eV/atom. As for the symmetry: No. 216.

Cell and atoms, written as extended XYZ:
```
4
Lattice="5.124 0.000 0.000 2.562 4.438 0.000 2.562 1.479 4.184" Properties=species:S:1:pos:R:3 pbc="T T T"
In 5.124 2.958 2.092
Mg 7.686 4.438 3.138
Cd 0.000 0.000 0.000
Cd 2.562 1.479 1.046
```

[4]
First-principles (PBE) data for an optimized crystal structure of CsCa3Cl, as listed in the Alexandria database.

The electronic total energy comes out at -1.016 eV/atom. The value obtained for the calculated density is 0.97 g/cm³. The calculation puts the uncorrected formation energy at 0.73 eV/atom. As for the symmetry: No. 221.

Cell and atoms, written as extended XYZ:
```
5
Lattice="7.895 0.000 0.000 0.000 7.895 0.000 0.000 0.000 7.895" Properties=species:S:1:pos:R:3 pbc="T T T"
Ca 3.947 0.000 0.000
Ca 0.000 3.947 0.000
Ca 0.000 0.000 3.947
Cs 0.000 0.000 0.000
Cl 3.947 3.947 3.947
```

[5]
First-principles (PBE) data for an optimized crystal structure of TbSbAu4, as listed in the Alexandria database.

The electronic total energy comes out at -4.046 eV/atom. The value obtained for the calculated density is 13.84 g/cm³. The calculation puts the uncorrected formation energy at -0.40 eV/atom. As for the symmetry: No. 216.

Cell and atoms, written as extended XYZ:
```
6
Lattice="-1.105 4.332 -3.471 -4.473 -0.217 -3.461 -4.482 3.321 0.957" Properties=species:S:1:pos:R:3 pbc="T T T"
Au -4.048 2.988 -4.211
Au -6.285 4.646 -3.733
Au -5.734 2.483 -2.000
Au -4.052 4.754 -2.005
Tb -2.515 1.859 -1.494
Sb 0.000 0.000 0.000
```

[6]
First-principles (PBE) data for an optimized crystal structure of Mn2InHg2S6, as listed in the Alexandria database.

The electronic total energy comes out at -4.581 eV/atom. The value obtained for the calculated density is 5.48 g/cm³. The calculation puts the uncorrected formation energy at -0.36 eV/atom. As for the symmetry: No. 12.

Cell and atoms, written as extended XYZ:
```
11
Lattice="6.178 -0.022 0.450 -3.073 5.360 0.450 -0.664 -1.142 7.316" Properties=species:S:1:pos:R:3 pbc="T T T"
S 1.865 -0.773 5.133
S 0.891 1.532 2.675
S 1.550 2.664 5.540
S 4.035 2.957 3.083
S 0.576 4.969 3.083
S -1.593 1.239 5.133
In -0.332 -0.571 3.658
Hg -1.811 4.626 0.450
Hg 4.916 0.712 0.450
Mn 2.723 1.224 4.108
Mn -0.282 2.972 4.108
```

[7]
First-principles (PBE) data for an optimized crystal structure of LiIrOs, as listed in the Alexandria database.

The electronic total energy comes out at -7.255 eV/atom. The value obtained for the calculated density is 16.03 g/cm³. The value obtained for the formation energy from the elements is 0.080 eV/atom. As for the symmetry: No. 38.

Cell and atoms, written as extended XYZ:
```
6
Lattice="-0.152 -3.120 3.143 -2.857 -2.393 -2.514 1.883 -2.942 -2.829" Properties=species:S:1:pos:R:3 pbc="T T T"
Os -0.159 -0.856 -0.857
Os -0.820 -4.479 -4.485
Ir -1.246 -3.212 -0.126
Ir -1.580 -5.046 -1.961
Li -0.495 -2.667 -2.671
Li 0.907 -4.398 -1.198
```

[8]
First-principles (PBE) data for an optimized crystal structure of CaTaOs2, as listed in the Alexandria database.

The electronic total energy comes out at -8.624 eV/atom. The value obtained for the calculated density is 14.14 g/cm³. The value obtained for the formation energy from the elements is 0.454 eV/atom. As for the symmetry: No. 71.

Cell and atoms, written as extended XYZ:
```
4
Lattice="-4.359 0.011 3.137 0.608 -2.844 4.515 1.731 4.198 -2.867" Properties=species:S:1:pos:R:3 pbc="T T T"
Os -1.947 -1.470 3.972
Os -3.679 -2.778 7.506
Ta -2.252 1.397 2.048
Ca 0.231 -0.031 2.737
```

- Among the records above, which one has the highest electronic total energy?
  CsCa3Cl

What did the first record say?
First-principles (PBE) data for an optimized crystal structure of PmTmHgAu, as listed in the Alexandria database.

The electronic total energy comes out at -3.834 eV/atom. The value obtained for the calculated density is 11.80 g/cm³. The value obtained for the formation energy from the elements is -0.634 eV/atom. As for the symmetry: No. 216.

Cell and atoms, written as extended XYZ:
```
4
Lattice="-1.303 2.642 4.300 1.571 -1.690 4.674 3.637 2.642 2.639" Properties=species:S:1:pos:R:3 pbc="T T T"
Hg 1.952 1.797 5.806
Au 0.000 0.000 0.000
Pm 0.976 0.898 2.903
Tm 2.929 2.695 8.709
```

- calculated density of number 6 (Mn2InHg2S6)?
  5.48 g/cm³

- Which of these has the highest calculated density?
  LiIrOs